(1)
Material: DyInPb2
Method: DFT, PBE-GGA
State: relaxed

Cell lengths 4.151, 4.151, 6.662 Å; angles 90.00, 90.00, 90.00 degrees
Positions (direct):
Pb: 0.000 0.000 0.749
Pb: 0.000 0.000 0.251
In: 0.500 0.500 0.000
Dy: 0.500 0.500 0.500

Computed properties:
- DFT formation energy: -0.200 eV/atom
- Fermi-level density of states: 1.109 states/eV/atom
- Energy above the lowest structure with this stoichiometry: 10.3 kJ/mol of atoms

---

(2)
Material: MgIn2S4
Method: DFT, PBE-GGA
State: relaxed

Cell lengths 3.754, 6.509, 12.479 Å; angles 90.00, 90.00, 106.76 degrees
Positions (direct):
Mg: 0.603 0.206 0.750
Mg: 0.397 0.794 0.250
In: 0.137 0.273 0.429
In: 0.863 0.727 0.929
In: 0.137 0.273 0.071
In: 0.863 0.727 0.571
S: 0.781 0.562 0.120
S: 0.781 0.562 0.380
S: 0.219 0.438 0.880
S: 0.219 0.438 0.620
S: 0.967 0.933 0.750
S: 0.033 0.067 0.250
S: 0.500 0.000 0.000
S: 0.500 0.000 0.500

Computed properties:
- Formation energy from raw total energies: -474 kJ/mol of formula units

---

(3)
Material: La8ErTm6
Method: DFT, PBE-GGA
State: relaxed

Cell lengths 6.659, 9.394, 9.394 Å; angles 120.00, 90.00, 90.00 degrees
Positions (direct):
La: 0.832 0.046 0.294
La: 0.832 0.706 0.752
La: 0.832 0.248 0.954
La: 0.168 0.954 0.706
La: 0.168 0.294 0.248
La: 0.168 0.752 0.046
La: 0.880 0.333 0.667
La: 0.120 0.667 0.333
Er: 0.500 0.000 0.000
Tm: 0.650 0.662 0.099
Tm: 0.650 0.901 0.563
Tm: 0.650 0.437 0.338
Tm: 0.350 0.338 0.901
Tm: 0.350 0.099 0.437
Tm: 0.350 0.563 0.662

Computed properties:
- DFT formation energy: 0.166 eV/atom
- Fermi-level density of states: 1.576 states/eV/atom

---

(4)
Material: CdFe3Si
Method: DFT, PBE-GGA
State: relaxed

Cell lengths 4.280, 4.280, 4.280 Å; angles 90.00, 90.00, 90.00 degrees
Positions (direct):
Si: 0.000 0.000 0.000
Fe: 0.000 0.500 0.000
Fe: 0.000 0.000 0.500
Fe: 0.500 0.000 0.000
Cd: 0.500 0.500 0.500

Computed properties:
- Fermi-level density of states: 0.869 states/eV/atom
- Formation energy from raw total energies: 257 kJ/mol of formula units
- Energy above the lowest structure with this stoichiometry: 0.0 kJ/mol of atoms

---

(5)
Material: LaPrTe2I
Method: DFT, PBE-GGA
State: relaxed

Cell lengths 4.717, 4.717, 15.396 Å; angles 90.00, 90.00, 90.00 degrees
Positions (direct):
La: 0.500 0.000 0.091
La: 0.000 0.500 0.909
Pr: 0.500 0.000 0.652
Pr: 0.000 0.500 0.348
Te: 0.000 0.500 0.701
Te: 0.000 0.500 0.122
Te: 0.500 0.000 0.878
Te: 0.500 0.000 0.299
I: 0.000 0.000 0.500
I: 0.500 0.500 0.500

Computed properties:
- Fermi-level density of states: 0.482 states/eV/atom
- Formation energy from raw total energies: -635 kJ/mol of formula units

---

(6)
Material: Li5Pb3Br12
Method: DFT, PBE-GGA
State: relaxed

Cell lengths 14.393, 14.393, 14.393 Å; angles 109.47, 109.47, 109.47 degrees
Positions (direct):
Pb: 0.750 0.375 0.125
Pb: 0.875 0.750 0.125
Pb: 0.375 0.750 0.625
Pb: 0.250 0.125 0.375
Pb: 0.875 0.125 0.250
Pb: 0.375 0.625 0.250
Pb: 0.625 0.375 0.750
Pb: 0.125 0.875 0.750
Pb: 0.750 0.875 0.625
Pb: 0.625 0.250 0.375
Pb: 0.125 0.250 0.875
Pb: 0.250 0.625 0.875
Li: 0.125 0.375 0.250
Li: 0.000 0.500 0.000
Li: 0.000 0.000 0.000
Li: 0.375 0.250 0.125
Li: 0.500 0.000 0.500
Li: 0.500 0.500 0.000
Li: 0.125 0.750 0.375
Li: 0.750 0.125 0.875
Li: 0.750 0.625 0.375
Li: 0.375 0.125 0.750
Li: 0.625 0.875 0.250
Li: 0.500 0.500 0.500
Li: 0.500 0.000 0.000
Li: 0.000 0.000 0.500
Li: 0.250 0.375 0.625
Li: 0.250 0.875 0.125
Li: 0.000 0.500 0.500
Li: 0.875 0.250 0.625
Li: 0.625 0.750 0.875
Li: 0.875 0.625 0.750
Br: 0.712 0.122 0.031
Br: 0.319 0.531 0.410
Br: 0.969 0.378 0.288
Br: 0.531 0.212 0.122
Br: 0.590 0.712 0.681
Br: 0.969 0.590 0.181
Br: 0.319 0.788 0.410
Br: 0.090 0.910 0.122
Br: 0.590 0.969 0.681
Br: 0.712 0.590 0.181
Br: 0.788 0.469 0.378
Br: 0.819 0.910 0.031
Br: 0.122 0.712 0.531
Br: 0.378 0.410 0.090
Br: 0.090 0.910 0.378
Br: 0.410 0.122 0.590
Br: 0.090 0.181 0.212
Br: 0.469 0.681 0.090
Br: 0.819 0.910 0.288
Br: 0.122 0.410 0.090
Br: 0.378 0.969 0.788
Br: 0.590 0.622 0.410
Br: 0.910 0.819 0.531
Br: 0.788 0.319 0.910
Br: 0.410 0.378 0.590
Br: 0.090 0.181 0.469
Br: 0.212 0.681 0.090
Br: 0.181 0.090 0.712
Br: 0.622 0.031 0.212
Br: 0.878 0.590 0.910
Br: 0.531 0.319 0.910
Br: 0.590 0.878 0.410
Br: 0.910 0.819 0.788
Br: 0.910 0.090 0.622
Br: 0.878 0.288 0.469
Br: 0.181 0.090 0.969
Br: 0.622 0.590 0.910
Br: 0.410 0.031 0.319
Br: 0.288 0.410 0.819
Br: 0.212 0.531 0.622
Br: 0.910 0.090 0.878
Br: 0.681 0.212 0.590
Br: 0.469 0.788 0.878
Br: 0.031 0.410 0.819
Br: 0.410 0.288 0.319
Br: 0.031 0.622 0.712
Br: 0.681 0.469 0.590
Br: 0.288 0.878 0.969

Computed properties:
- Fermi-level density of states: 1.430 states/eV/atom
- Formation energy from raw total energies: -2142 kJ/mol of formula units

---

(7)
Material: Cu15Ge4Au
Method: DFT, PBE-GGA
State: relaxed

Cell lengths 3.748, 3.748, 18.545 Å; angles 90.00, 90.00, 90.00 degrees
Positions (direct):
Cu: 0.500 0.500 0.000
Cu: 0.500 0.500 0.204
Cu: 0.500 0.500 0.400
Cu: 0.500 0.500 0.600
Cu: 0.500 0.500 0.796
Cu: 0.500 0.000 0.104
Cu: 0.500 0.000 0.301
Cu: 0.500 0.000 0.500
Cu: 0.500 0.000 0.699
Cu: 0.500 0.000 0.896
Cu: 0.000 0.500 0.104
Cu: 0.000 0.500 0.301
Cu: 0.000 0.500 0.500
Cu: 0.000 0.500 0.699
Cu: 0.000 0.500 0.896
Ge: 0.000 0.000 0.202
Ge: 0.000 0.000 0.401
Ge: 0.000 0.000 0.599
Ge: 0.000 0.000 0.798
Au: 0.000 0.000 0.000

Computed properties:
- DFT formation energy: 0.003 eV/atom
- Fermi-level density of states: 0.343 states/eV/atom

---

(8)
Material: Cd3InBi
Method: DFT, PBE-GGA
State: relaxed

Cell lengths 7.084, 7.539, 11.209 Å; angles 119.25, 90.00, 90.00 degrees
Positions (direct):
Cd: 0.106 0.013 0.244
Cd: 0.894 0.987 0.756
Cd: 0.606 0.987 0.256
Cd: 0.394 0.013 0.744
Cd: 0.620 0.790 0.441
Cd: 0.380 0.210 0.559
Cd: 0.120 0.210 0.059
Cd: 0.880 0.790 0.941
Cd: 0.143 0.606 0.660
Cd: 0.857 0.394 0.340
Cd: 0.643 0.394 0.840
Cd: 0.357 0.606 0.160
In: 0.879 0.621 0.149
In: 0.121 0.379 0.851
In: 0.379 0.379 0.351
In: 0.621 0.621 0.649
Bi: 0.132 0.788 0.453
Bi: 0.868 0.212 0.547
Bi: 0.632 0.212 0.047
Bi: 0.368 0.788 0.953

Computed properties:
- DFT formation energy: 0.049 eV/atom
- Fermi-level density of states: 0.319 states/eV/atom
- Energy above the lowest structure with this stoichiometry: 0.0 kJ/mol of atoms

---

(9)
Material: Er2P3PdRh4
Method: DFT, PBE-GGA
State: relaxed

Cell lengths 3.924, 3.924, 10.691 Å; angles 90.00, 90.00, 90.00 degrees
Positions (direct):
Er: 0.500 0.000 0.258
Er: 0.000 0.500 0.742
P: 0.000 0.000 0.500
P: 0.500 0.000 0.873
P: 0.000 0.500 0.127
Pd: 0.500 0.500 0.500
Rh: 0.500 0.500 0.000
Rh: 0.000 0.000 0.000
Rh: 0.500 0.000 0.667
Rh: 0.000 0.500 0.333

Computed properties:
- DFT formation energy: -0.941 eV/atom
- Fermi-level density of states: 0.384 states/eV/atom

---

(10)
Material: Re2TeMo
Method: DFT, PBE-GGA
State: relaxed

Cell lengths 4.027, 2.967, 6.165 Å; angles 76.06, 90.00, 90.00 degrees
Positions (direct):
Mo: 0.500 0.675 0.776
Re: 0.000 0.060 0.005
Re: 0.500 0.472 0.181
Te: 0.000 0.293 0.537

Computed properties:
- Fermi-level density of states: 0.515 states/eV/atom
- Formation energy from raw total energies: 204 kJ/mol of formula units

---

(11)
Material: CaYHgPb
Method: DFT, PBE-GGA
State: relaxed

Cell lengths 3.968, 5.239, 5.356 Å; angles 90.00, 90.00, 90.00 degrees
Positions (direct):
Ca: 0.000 0.000 0.000
Y: 0.000 0.500 0.500
Hg: 0.500 0.500 0.000
Pb: 0.500 0.000 0.500

Computed properties:
- DFT formation energy: -0.518 eV/atom
- Fermi-level density of states: 0.575 states/eV/atom
- Energy above the lowest structure with this stoichiometry: 0.0 kJ/mol of atoms

---

(12)
Material: ErTmRe
Method: DFT, PBE-GGA
State: relaxed

Cell lengths 3.407, 3.407, 6.758 Å; angles 104.60, 104.60, 90.00 degrees
Positions (direct):
Re: 0.666 0.666 0.332
Tm: 0.037 0.037 0.075
Er: 0.297 0.297 0.593

Computed properties:
- DFT formation energy: 0.065 eV/atom
- Fermi-level density of states: 1.192 states/eV/atom
- Energy above the lowest structure with this stoichiometry: 0.0 kJ/mol of atoms